1.
Below is an optimized crystal structure of YBeAg2, with properties calculated at the GGA-PBE level.

The electronic total energy comes out at -3.952 eV/atom. The calculation puts the density of states at the Fermi level at 4.6 states/eV per cell. The total magnetization is 0.00 μB per atom.

The space group is Imm2 (No. 44) and the conventional cell measures 4.014, 4.893 and 7.790 Å, with angles of 90.00, 90.00 and 90.00 degrees. The asymmetric unit holds Y at (0.000, 0.000, 0.000), Be at (0.000, 0.500, 0.226), Ag at (0.000, 0.000, 0.561) and Ag at (0.000, 0.500, 0.783).



2.
Below is an optimized crystal structure of PrDyGaGe, with properties calculated at the GGA-PBE level.

The electronic total energy comes out at -5.014 eV/atom. The calculation puts the density of states at the Fermi level at 6.5 states/eV per cell. For the energy above the most stable polymorph in this dataset, the calculation gives 0 meV/atom. The total magnetization is 0.00 μB per atom.

The space group is Amm2 (No. 38) and the conventional cell measures 4.069, 4.415 and 11.102 Å, with angles of 90.00, 90.00 and 90.00 degrees. The asymmetric unit holds Pr at (0.000, 0.000, 0.000), Dy at (0.500, 0.000, 0.280), Ga at (0.500, 0.000, 0.568) and Ge at (0.000, 0.000, 0.720).



3.
Below is an optimized crystal structure of CoPPt2, with properties calculated at the GGA-PBE level.

The electronic total energy comes out at -6.096 eV/atom. The calculation puts the density of states at the Fermi level at 7.3 states/eV per cell. The total magnetization is 0.49 μB per atom.

The space group is I4/mmm (No. 139) and the conventional cell measures 3.856, 3.856 and 7.559 Å, with angles of 90.00, 90.00 and 90.00 degrees. The asymmetric unit holds Co at (0.000, 0.000, 0.000), P at (0.000, 0.000, 0.500) and Pt at (0.000, 0.500, 0.250).



4.
Below is an optimized crystal structure of TaV3H4, with properties calculated at the GGA-PBE level.

The electronic total energy comes out at -6.702 eV/atom. The calculation puts the density of states at the Fermi level at 10.1 states/eV per cell. For the energy above the most stable polymorph in this dataset, the calculation gives 48 meV/atom. The total magnetization is 0.00 μB per atom.

The space group is P6_3/mmc (No. 194) and the conventional cell measures 2.9155, 2.9155 and 17.9563 Å, with angles of 90.00, 90.00 and 120.00 degrees. The asymmetric unit holds Ta at (0.3333, 0.6667, 0.2500), V at (0.0000, 0.0000, 0.0000), V at (0.3333, 0.6667, 0.6144), H at (0.0000, 0.0000, 0.1751) and H at (0.3333, 0.6667, 0.0589).



5.
Below is an optimized crystal structure of LaPdPb2F, with properties calculated at the GGA-PBE level.

The electronic total energy comes out at -4.624 eV/atom. The calculation puts the density of states at the Fermi level at 4.2 states/eV per cell. The formation energy from raw total energies is -0.742 eV/atom. The total magnetization is 0.00 μB per atom.

The space group is P4/mmm (No. 123) and the conventional cell measures 5.075, 5.075 and 4.910 Å, with angles of 90.00, 90.00 and 90.00 degrees. The asymmetric unit holds La at (0.000, 0.000, 0.000), Pd at (0.500, 0.500, 0.000), Pb at (0.000, 0.500, 0.500) and F at (0.000, 0.000, 0.500).



6.
Below is an optimized crystal structure of Co2HgSe, with properties calculated at the GGA-PBE level.

The electronic total energy comes out at -4.185 eV/atom. The calculation puts the density of states at the Fermi level at 3.5 states/eV per cell. The formation energy from raw total energies is 0.314 eV/atom. For the energy above the most stable polymorph in this dataset, the calculation gives 118 meV/atom. The total magnetization is 0.40 μB per atom.

The space group is P4/mmm (No. 123) and the conventional cell measures 2.990, 2.990 and 6.612 Å, with angles of 90.00, 90.00 and 90.00 degrees. The asymmetric unit holds Co at (0.000, 0.000, 0.203), Hg at (0.500, 0.500, 0.500) and Se at (0.500, 0.500, 0.000).